Li2Mg | SCAN | PBEsol geometry

Energy of formation: -34 meV per atom

Lattice parameters (Å, degrees): 10.677 3.376 6.944 90.00 108.29 90.00
Space group C2/m (No. 12)
Unique sites:
Li (0.008, 0.000, 0.243) (multiplicity 4)
Li (0.166, 0.500, 0.075) (multiplicity 4)
Mg (0.162, 0.500, 0.592) (multiplicity 4)